[1]
A plane-wave DFT calculation with PBE-GGA was carried out for a geometry-optimized Mg2RhAu structure.

Cell lengths 5.1445, 5.1445, 4.5422 Å; angles 106.39, 106.39, 35.94 degrees
Element x y z (fractional)
Mg 0.0000 0.0000 0.0000
Mg 0.2245 0.2245 0.6375
Rh 0.4881 0.4881 0.5036
Au 0.7457 0.7457 0.1503

The size of the total moment is 0.00 μB per formula unit. Its uncorrected energy is -3.93 eV per atom.

=====

[2]
A plane-wave DFT calculation with PBE-GGA was carried out for a geometry-optimized TiCr2Co structure.

Cell lengths 4.1216, 4.1216, 4.1216 Å; angles 60.00, 60.00, 60.00 degrees
Element x y z (fractional)
Ti 0.0000 0.0000 0.0000
Cr 0.2500 0.2500 0.2500
Cr 0.7500 0.7500 0.7500
Co 0.5000 0.5000 0.5000

The size of the total moment is 1.77 μB per formula unit. Its uncorrected energy is -8.41 eV per atom.

=====

[3]
A plane-wave DFT calculation with PBE-GGA was carried out for a geometry-optimized CsCo2H7 structure.

Cell lengths 5.6105, 5.6105, 3.4193 Å; angles 90.00, 90.00, 125.98 degrees
Element x y z (fractional)
Cs 0.0000 0.0000 0.0000
Co 0.3125 0.6875 0.5000
Co 0.6875 0.3125 0.5000
H 0.0037 0.3613 0.5000
H 0.3221 0.6779 0.0000
H 0.3613 0.0037 0.5000
H 0.5000 0.5000 0.5000
H 0.6387 0.9963 0.5000
H 0.6779 0.3221 0.0000
H 0.9963 0.6387 0.5000

The size of the total moment is 0.61 μB per formula unit. Its uncorrected energy is -3.71 eV per atom.

=====

[4]
A plane-wave DFT calculation with PBE-GGA was carried out for a geometry-optimized RbUTe2Au structure.

Cell lengths 9.3495, 9.3495, 6.0291 Å; angles 90.00, 90.00, 140.71 degrees
Element x y z (fractional)
Rb 0.2500 0.7500 0.7615
Rb 0.7500 0.2500 0.2385
U 0.2500 0.2500 0.5000
U 0.7500 0.7500 0.5000
Te 0.1271 0.8729 0.2559
Te 0.3729 0.6271 0.2559
Te 0.6271 0.3729 0.7441
Te 0.8729 0.1271 0.7441
Au 0.0000 0.0000 0.0000
Au 0.5000 0.5000 0.0000

The size of the total moment is 3.87 μB per formula unit. The formation energy from raw total energies comes out at -0.499 eV per atom.